5
Lattice="-4.877 2.379 1.053 -0.055 -2.331 5.012 -0.595 3.198 4.529" Properties=species:S:1:pos:R:3 comment="SbTe2P2 | Alexandria | PBE | optimized geometry" de_polymorph_mev_per_atom=148 total_magnetization_mub_per_cell=0.0 dft_energy_ev_per_atom=-3.847 vol_a3_per_atom=24.30 pbc="T T T"
Te -3.969 2.800 4.307
Te -1.558 0.445 6.287
P -3.598 2.311 7.132
P -1.929 0.935 3.462
Sb 0.000 0.000 0.000